VASP calculation (PBE-GGA) on an optimized crystal structure of Ba2Mo3Pd2.

abc: 11.732 11.732 11.732
angles: 21.47 21.47 21.47
Sites, in units of the cell vectors:
Pd: 0.016 0.016 0.016
Pd: 0.560 0.560 0.560
Mo: 0.937 0.937 0.937
Mo: 0.635 0.635 0.635
Mo: 0.310 0.310 0.310
Ba: 0.180 0.180 0.180
Ba: 0.738 0.738 0.738

Total DFT energy (no corrections)   -6.42 eV/atom
V   190 Å³ per cell

***

VASP calculation (PBE-GGA) on an optimized crystal structure of AgOsBr6.

abc: 7.155 7.155 7.155
angles: 60.00 60.00 60.00
Last column: magnetic moment on the atom in μB.
Sites, in units of the cell vectors:
Br: 0.006 0.494 0.006  0.11
Br: 0.494 0.006 0.494  0.12
Br: 0.494 0.494 0.006  0.13
Br: 0.006 0.006 0.494  0.12
Br: 0.494 0.006 0.006  0.12
Br: 0.006 0.494 0.494  0.11
Ag: 0.500 0.500 0.500  0.02
Os: 0.250 0.250 0.250  1.81

Polymorph energy (0 for the lowest one)   0.123 eV per atom
Total DFT energy (no corrections)   -3.03 eV/atom
V   259 Å³ per cell

***

VASP calculation (PBE-GGA) on an optimized crystal structure of ErGeTeAuSe2.

abc: 7.217 7.217 11.063
angles: 90.00 90.00 147.96
Sites, in units of the cell vectors:
Se: 0.358 0.642 0.941
Se: 0.358 0.642 0.559
Se: 0.642 0.358 0.059
Se: 0.642 0.358 0.441
Ge: 0.183 0.817 0.250
Ge: 0.817 0.183 0.750
Au: 0.528 0.472 0.250
Au: 0.472 0.528 0.750
Er: 0.000 0.000 0.000
Er: 0.000 0.000 0.500
Te: 0.112 0.888 0.750
Te: 0.888 0.112 0.250

Total DFT energy (no corrections)   -4.44 eV/atom
V   306 Å³ per cell

***

VASP calculation (PBE-GGA) on an optimized crystal structure of NbCoSiAu.

abc: 4.378 4.378 4.378
angles: 60.00 60.00 60.00
Last column: magnetic moment on the atom in μB.
Sites, in units of the cell vectors:
Nb: 0.250 0.250 0.250  0.04
Co: 0.750 0.750 0.750  -0.21
Au: 0.500 0.500 0.500  0.00
Si: 0.000 0.000 0.000  0.00

Polymorph energy (0 for the lowest one)   0.000 eV per atom
Total DFT energy (no corrections)   -6.46 eV/atom
V   59 Å³ per cell

***

Mass density in Mg/m³, matching the order above: 6.790 4.985 7.848 10.545
Size of the total moment in μB per formula unit, matching the order above: 0.0 3.0 0.0 0.2